Record 1
The following is a PBE calculation of crystalline BaIr2OsPd at its relaxed geometry, from Alexandria via LeMat-Bulk.

Cell: 4.855 5.466 4.855 Å, 90.00 90.00 90.00°
Sites, in units of the cell vectors:
Ir: 0.500 0.000 0.000
Ba: 0.000 0.500 0.000
Ir: 0.000 0.000 0.500
Os: 0.500 0.500 0.500
Pd: 0.000 0.000 0.000

Values from the calculation:
magnetization	4.79	μB per formula unit

***

Record 2
The following is a PBE calculation of crystalline MnTc2Os at its relaxed geometry, from Alexandria via LeMat-Bulk.

Cell: 4.684 4.684 2.701 Å, 90.00 90.00 109.92°
Sites, in units of the cell vectors:
Mn: 0.500 0.000 0.500
Os: 0.000 0.500 0.500
Tc: 0.000 0.000 0.000
Tc: 0.500 0.500 0.000

Values from the calculation:
magnetization	1.34	μB per formula unit

***

Number 1: E_tot -5.102 eV/atom. Number 2: E_tot -10.214 eV/atom.